No. 1
NaPrIn: relaxed, GGA-PBE.

Its energy above the lowest structure with this stoichiometry is 0 kJ/mol of formula units. The space group is P3m1 (156). Its formation energy is -16.0 kJ/mol of atoms.

abc: 3.404 5.425 5.425
angles: 120.00 90.00 90.00
Element x y z (fractional)
1 Pr 0.666 0.333 0.667
2 In 0.164 0.000 0.000
3 Na 0.170 0.667 0.333

No. 2
ThSi2Tc2Ni: relaxed, GGA-PBE.

As for the raw formation energy: -0.1638 eV/atom. The space group is P4/mmm (123).

abc: 4.448 4.448 5.224
angles: 90.00 90.00 90.00
Element x y z (fractional)
1 Si 0.000 0.500 0.000
2 Si 0.500 0.000 0.000
3 Ni 0.000 0.000 0.000
4 Tc 0.500 0.500 0.262
5 Tc 0.500 0.500 0.738
6 Th 0.000 0.000 0.500

No. 3
Cd2AgBr: relaxed, GGA-PBE.

As for the raw formation energy: 0.2035 eV/atom. Its energy above the lowest structure with this stoichiometry is 139 kJ/mol of formula units. The space group is Fm-3m (225).

abc: 5.225 5.225 5.225
angles: 60.00 60.00 60.00
Element x y z (fractional)
1 Cd 0.750 0.750 0.750
2 Cd 0.250 0.250 0.250
3 Br 0.000 0.000 0.000
4 Ag 0.500 0.500 0.500

No. 4
NaFe: relaxed, GGA-PBE.

The space group is P4/mmm (123). Its formation energy is 60.1 kJ/mol of atoms.

abc: 11.087 11.087 2.626
angles: 90.00 90.00 90.00
Element x y z (fractional)
1 Na 0.500 0.841 0.500
2 Na 0.000 0.774 0.000
3 Na 0.159 0.500 0.500
4 Na 0.500 0.159 0.500
5 Na 0.841 0.500 0.500
6 Na 0.226 0.000 0.000
7 Na 0.000 0.226 0.000
8 Na 0.774 0.000 0.000
9 Fe 0.740 0.260 0.500
10 Fe 0.610 0.390 0.000
11 Fe 0.390 0.610 0.000
12 Fe 0.260 0.740 0.500
13 Fe 0.740 0.740 0.500
14 Fe 0.610 0.610 0.000
15 Fe 0.260 0.260 0.500
16 Fe 0.390 0.390 0.000

No. 5
MnNb2Al5Ir2: relaxed, GGA-PBE.

The space group is P4/mbm (127). Its formation energy is -40.0 kJ/mol of atoms.

abc: 3.949 9.036 9.036
angles: 90.00 90.00 90.00
Element x y z (fractional)
1 Ir 0.000 0.121 0.621
2 Ir 0.000 0.879 0.379
3 Ir 0.000 0.379 0.121
4 Ir 0.000 0.621 0.879
5 Al 0.500 0.298 0.561
6 Al 0.500 0.000 0.500
7 Al 0.500 0.202 0.061
8 Al 0.500 0.702 0.439
9 Al 0.500 0.561 0.702
10 Al 0.500 0.798 0.939
11 Al 0.500 0.500 0.000
12 Al 0.500 0.439 0.298
13 Al 0.500 0.939 0.202
14 Al 0.500 0.061 0.798
15 Nb 0.000 0.678 0.178
16 Nb 0.000 0.178 0.322
17 Nb 0.000 0.322 0.822
18 Nb 0.000 0.822 0.678
19 Mn 0.000 0.000 0.000
20 Mn 0.000 0.500 0.500

No. 6
TbAl3Cu3: relaxed, GGA-PBE.

Its energy above the lowest structure with this stoichiometry is 0 kJ/mol of formula units. The space group is P2_1/m (11). Its formation energy is -22.8 kJ/mol of atoms.

abc: 4.330 6.897 8.980
angles: 116.51 90.00 90.00
Element x y z (fractional)
1 Cu 0.250 0.053 0.581
2 Cu 0.250 0.363 0.482
3 Cu 0.750 0.947 0.419
4 Cu 0.750 0.637 0.518
5 Cu 0.750 0.328 0.035
6 Cu 0.250 0.672 0.965
7 Al 0.250 0.997 0.266
8 Al 0.750 0.749 0.108
9 Al 0.750 0.248 0.288
10 Al 0.250 0.251 0.892
11 Al 0.250 0.752 0.712
12 Al 0.750 0.003 0.734
13 Tb 0.750 0.435 0.725
14 Tb 0.250 0.565 0.275

No. 7
PPbBrF6: relaxed, GGA-PBE.

As for the raw formation energy: -2.2483 eV/atom. The space group is P1 (1).

abc: 7.042 7.954 4.931
angles: 100.41 92.03 36.29
Element x y z (fractional)
1 F 0.330 0.530 0.423
2 F 0.973 0.639 0.718
3 F 0.299 0.161 0.586
4 F 0.656 0.047 0.287
5 F 0.517 0.269 0.756
6 F 0.115 0.424 0.252
7 P 0.325 0.341 0.507
8 Br 0.187 0.951 0.035
9 Pb 0.597 0.639 0.436

No. 8
MnCrIn: relaxed, GGA-PBE.

The space group is I4mm (107). Its formation energy is 22.7 kJ/mol of atoms.

abc: 5.760 5.760 2.952
angles: 75.15 75.15 29.69
Element x y z (fractional)
1 Cr 0.024 0.024 0.976
2 Mn 0.645 0.645 0.355
3 In 0.331 0.331 0.669

No. 9
Tb7In2Sb2: relaxed, GGA-PBE.

As for the raw formation energy: -0.3423 eV/atom. The space group is Cmmm (65).

abc: 6.935 7.521 6.935
angles: 90.00 105.75 90.00
Element x y z (fractional)
1 Tb 0.000 0.719 0.500
2 Tb 0.500 0.719 0.000
3 Tb 0.500 0.732 0.500
4 Tb 0.000 0.281 0.500
5 Tb 0.500 0.268 0.500
6 Tb 0.000 0.000 0.000
7 Tb 0.500 0.281 0.000
8 Sb 0.283 0.000 0.717
9 Sb 0.717 0.000 0.283
10 In 0.826 0.500 0.826
11 In 0.174 0.500 0.174

No. 10
Cr4Pb3: relaxed, GGA-PBE.

Its energy above the lowest structure with this stoichiometry is 418 kJ/mol of formula units. The space group is P6/mmm (191). Its formation energy is 101.7 kJ/mol of atoms.

abc: 6.207 6.207 4.691
angles: 90.00 90.00 120.00
Element x y z (fractional)
1 Cr 0.333 0.667 0.500
2 Cr 0.000 0.000 0.686
3 Cr 0.667 0.333 0.500
4 Cr 0.000 0.000 0.314
5 Pb 0.000 0.500 0.000
6 Pb 0.500 0.000 0.000
7 Pb 0.500 0.500 0.000

No. 11
AlSb2W: relaxed, GGA-PBE.

As for the raw formation energy: 0.3722 eV/atom. The space group is Cm (8).

abc: 4.727 4.727 6.644
angles: 72.25 72.25 43.89
Element x y z (fractional)
1 Sb 0.980 0.980 0.902
2 Sb 0.256 0.256 0.351
3 Al 0.761 0.761 0.682
4 W 0.503 0.503 0.564

No. 12
TiNiTe2I: relaxed, GGA-PBE.

As for the raw formation energy: 0.4869 eV/atom. Its energy above the lowest structure with this stoichiometry is 4 kJ/mol of formula units. The space group is P4/mmm (123).

abc: 5.061 5.061 5.095
angles: 90.00 90.00 90.00
Element x y z (fractional)
1 Ni 0.000 0.000 0.000
2 Te 0.500 0.000 0.000
3 Te 0.000 0.500 0.000
4 I 0.000 0.000 0.500
5 Ti 0.500 0.500 0.500